[1]
DFT (PBE) results for crystalline CeEuTeBr at its relaxed geometry.

Lattice parameters (Å, degrees): 5.4651 5.4651 5.4651 60.00 60.00 60.00
With the nearest neighbours (Å) after each atom.
Fractional positions:
Ce 0.0000 0.0000 0.0000  4 Te 3.35, 4 Br 3.35
Eu 0.5000 0.5000 0.5000  4 Br 3.35, 4 Te 3.35
Te 0.2500 0.2500 0.2500  4 Eu 3.35, 4 Ce 3.35
Br 0.7500 0.7500 0.7500  4 Eu 3.35, 4 Ce 3.35

Fermi-level density of states   8.21 states/eV/cell
Formation energy from raw total energies   -1236 meV/atom

=====

[2]
DFT (PBE) results for crystalline CeBrF2 at its relaxed geometry.

Lattice parameters (Å, degrees): 5.7749 5.7749 5.7749 41.62 41.62 41.62
With the nearest neighbours (Å) after each atom.
Fractional positions:
Ce 0.0000 0.0000 0.0000  6 F 2.42
Br 0.5000 0.5000 0.5000  8 F 3.15-3.18
F 0.3008 0.3008 0.3008  3 Ce 2.42, 3 F 2.58
F 0.6992 0.6992 0.6992  3 Ce 2.42, 3 F 2.58

Polymorph energy (0 for the lowest one)   97 meV per atom
Fermi-level density of states   8.72 states/eV/cell
Formation energy from raw total energies   -3155 meV/atom

=====

[3]
DFT (PBE) results for crystalline Ce2Br4F at its relaxed geometry.

Lattice parameters (Å, degrees): 9.4349 9.4349 9.4349 32.29 32.29 32.29
With the nearest neighbours (Å) after each atom.
Fractional positions:
Ce 0.0857 0.0857 0.0857  1 F 2.30
Ce 0.9143 0.9143 0.9143  1 F 2.30
Br 0.2064 0.2064 0.2064  4 Ce 3.22-3.24, 3 Br 3.60
Br 0.3878 0.3878 0.3878  3 Ce 3.14, 3 F 3.36
Br 0.6122 0.6122 0.6122  3 Ce 3.14, 3 F 3.36
Br 0.7936 0.7936 0.7936  4 Ce 3.22-3.24, 3 Br 3.60
F 0.0000 0.0000 0.0000  2 Ce 2.30

Fermi-level density of states   18.50 states/eV/cell
Formation energy from raw total energies   -2097 meV/atom

=====

[4]
DFT (PBE) results for crystalline CeBr2F2 at its relaxed geometry.

Lattice parameters (Å, degrees): 7.0992 7.0992 3.8867 90.00 90.00 140.29
With the nearest neighbours (Å) after each atom.
Fractional positions:
Ce 0.0000 0.0000 0.0000  4 F 2.30
Br 0.3716 0.6284 0.0000  2 Ce 2.96, 4 F 3.14
Br 0.6284 0.3716 0.0000  2 Ce 2.96, 4 F 3.14
F 0.0918 0.9082 0.5000  2 Ce 2.30, 1 F 2.45
F 0.9082 0.0918 0.5000  2 Ce 2.30, 1 F 2.45

Polymorph energy (0 for the lowest one)   6 meV per atom
Formation energy from raw total energies   -2581 meV/atom

=====

[5]
DFT (PBE) results for crystalline CeBrF2 at its relaxed geometry.

Lattice parameters (Å, degrees): 5.8391 5.8391 7.2762 90.00 90.00 140.01
With the nearest neighbours (Å) after each atom.
Fractional positions:
Ce 0.2368 0.7632 0.7500  6 F 2.45-2.46
Ce 0.7632 0.2368 0.2500  6 F 2.45-2.46
Br 0.0456 0.9544 0.2500  3 Ce 3.10-3.11, 6 F 3.20-3.44
Br 0.9544 0.0456 0.7500  3 Ce 3.10-3.11, 6 F 3.20-3.44
F 0.3118 0.6882 0.0693  3 Ce 2.45-2.46, 3 F 2.62-2.63
F 0.3118 0.6882 0.4307  3 Ce 2.45-2.46, 3 F 2.62-2.63
F 0.6882 0.3118 0.5693  3 Ce 2.45-2.46, 3 F 2.62-2.63
F 0.6882 0.3118 0.9307  3 Ce 2.45-2.46, 3 F 2.62-2.63

Polymorph energy (0 for the lowest one)   0 meV per atom
Fermi-level density of states   15.74 states/eV/cell
Formation energy from raw total energies   -3252 meV/atom

=====

[6]
DFT (PBE) results for crystalline CeBr2F at its relaxed geometry.

Lattice parameters (Å, degrees): 4.1906 4.1906 7.9438 104.73 104.73 59.99
With the nearest neighbours (Å) after each atom.
Fractional positions:
Ce 0.0000 0.0000 0.0000  3 F 2.42
Br 0.5835 0.5835 0.7411  3 Ce 3.12, 3 F 3.12
Br 0.7497 0.7497 0.2590  3 F 3.12, 3 Ce 3.12
F 0.3333 0.3333 0.0001  3 Ce 2.42

Polymorph energy (0 for the lowest one)   0 meV per atom
Fermi-level density of states   7.89 states/eV/cell
Formation energy from raw total energies   -2562 meV/atom

=====

[7]
DFT (PBE) results for crystalline Ce2BrF6 at its relaxed geometry.

Lattice parameters (Å, degrees): 6.4458 6.4458 6.4458 142.94 108.89 83.01
With the nearest neighbours (Å) after each atom.
Fractional positions:
Ce 0.2014 0.2014 0.0000  6 F 2.29-2.39
Ce 0.7986 0.7986 0.0000  6 F 2.29-2.39
Br 0.5000 0.5000 0.0000  2 Ce 2.88
F 0.0509 0.7147 0.3362  3 Ce 2.39-2.65, 3 F 2.46-2.52
F 0.1621 0.0000 0.1621  2 Ce 2.29, 1 F 2.43
F 0.3784 0.7147 0.6638  3 Ce 2.39-2.65, 3 F 2.46-2.52
F 0.6216 0.2853 0.3362  3 Ce 2.39-2.65, 3 F 2.46-2.52
F 0.8379 0.0000 0.8379  2 Ce 2.29, 1 F 2.43
F 0.9491 0.2853 0.6638  3 Ce 2.39-2.65, 3 F 2.46-2.52

Fermi-level density of states   8.72 states/eV/cell
Formation energy from raw total energies   -3537 meV/atom

=====

[8]
DFT (PBE) results for crystalline Ce2Br5F at its relaxed geometry.

Lattice parameters (Å, degrees): 7.5799 7.5799 20.6843 90.00 90.00 152.00
With the nearest neighbours (Å) after each atom.
Fractional positions:
Ce 0.2486 0.7514 0.6607  2 F 2.71, 4 Br 2.90-2.91
Ce 0.2486 0.7514 0.8393  2 F 2.71, 4 Br 2.90-2.91
Ce 0.7514 0.2486 0.1607  2 F 2.71, 4 Br 2.90-2.91
Ce 0.7514 0.2486 0.3393  2 F 2.71, 4 Br 2.90-2.91
Br 0.1122 0.8878 0.1138  2 Ce 2.91, 1 F 3.10
Br 0.1122 0.8878 0.3862  2 Ce 2.91, 1 F 3.10
Br 0.3500 0.6500 0.0776  2 Ce 2.90
Br 0.3500 0.6500 0.4224  2 Ce 2.90
Br 0.3879 0.6121 0.2500  1 F 2.77
Br 0.6121 0.3879 0.7500  1 F 2.77
Br 0.6500 0.3500 0.5776  2 Ce 2.90
Br 0.6500 0.3500 0.9224  2 Ce 2.90
Br 0.8878 0.1122 0.6138  2 Ce 2.91, 1 F 3.10
Br 0.8878 0.1122 0.8862  2 Ce 2.91, 1 F 3.10
F 0.1994 0.8006 0.2500  4 Ce 2.71, 1 Br 2.77
F 0.8006 0.1994 0.7500  4 Ce 2.71, 1 Br 2.77

Fermi-level density of states   16.73 states/eV/cell
Formation energy from raw total energies   -1954 meV/atom